[1]
# PBE-GGA ThZrAu, optimized geometry
data_ThZrAu
_chemical_formula_sum 'Th2 Zr2 Au2'
_cell_length_a 5.947
_cell_length_b 5.947
_cell_length_c 7.631
_cell_angle_alpha 91.59
_cell_angle_beta 91.59
_cell_angle_gamma 34.57
_symmetry_space_group_name_H-M 'P 1'
_symmetry_Int_Tables_number 1
_symmetry_space_group_name_Hall 'P 1'
loop_
_atom_site_label
_atom_site_fract_x
_atom_site_fract_y
_atom_site_fract_z
_atom_site_occupancy
Th1 0.131 0.131 0.433 1
Th2 0.869 0.869 0.567 1
Zr1 0.425 0.425 0.174 1
Zr2 0.575 0.575 0.826 1
Au1 0.284 0.284 0.856 1
Au2 0.716 0.716 0.144 1
# **E_form**: -0.1455 eV/atom
# **Crystal system**: monoclinic
# **DOS at the Fermi energy**: 1.02 states/eV per atom
# **Relative energy among the computed polymorphs**: 20.2 kJ per mole of atoms
# **Final energy**: -39.36 eV per cell

***

[2]
# PBE-GGA ThZrAu, optimized geometry
data_ThZrAu
_chemical_formula_sum 'Th1 Zr1 Au1'
_cell_length_a 6.701
_cell_length_b 6.701
_cell_length_c 6.701
_cell_angle_alpha 150.11
_cell_angle_beta 150.11
_cell_angle_gamma 42.78
_symmetry_space_group_name_H-M 'P 1'
_symmetry_Int_Tables_number 1
_symmetry_space_group_name_Hall 'P 1'
loop_
_atom_site_label
_atom_site_fract_x
_atom_site_fract_y
_atom_site_fract_z
_atom_site_occupancy
Th1 0.000 0.000 0.000 1
Zr1 0.310 0.310 0.000 1
Au1 0.684 0.684 0.000 1
# **E_form**: -0.3545 eV/atom
# **Crystal system**: tetragonal
# **DOS at the Fermi energy**: 0.65 states/eV per atom
# **Relative energy among the computed polymorphs**: 0.0 kJ per mole of atoms
# **Final energy**: -20.31 eV per cell

***

[3]
# PBE-GGA Ti3Au, optimized geometry
data_Ti3Au
_chemical_formula_sum 'Ti3 Au1'
_cell_length_a 5.177
_cell_length_b 5.177
_cell_length_c 5.177
_cell_angle_alpha 135.38
_cell_angle_beta 135.38
_cell_angle_gamma 64.95
_symmetry_space_group_name_H-M 'P 1'
_symmetry_Int_Tables_number 1
_symmetry_space_group_name_Hall 'P 1'
loop_
_atom_site_label
_atom_site_fract_x
_atom_site_fract_y
_atom_site_fract_z
_atom_site_occupancy
Ti1 0.000 0.000 0.000 1
Ti2 0.250 0.750 0.500 1
Ti3 0.750 0.250 0.500 1
Au1 0.500 0.500 0.000 1
# **E_form**: -0.2287 eV/atom
# **Crystal system**: tetragonal
# **DOS at the Fermi energy**: 1.52 states/eV per atom
# **Relative energy among the computed polymorphs**: 11.8 kJ per mole of atoms
# **Final energy**: -27.88 eV per cell

***

[4]
# PBE-GGA Ti3Au, optimized geometry
data_Ti3Au
_chemical_formula_sum 'Ti3 Au1'
_cell_length_a 5.484
_cell_length_b 5.484
_cell_length_c 5.484
_cell_angle_alpha 148.53
_cell_angle_beta 63.79
_cell_angle_gamma 126.07
_symmetry_space_group_name_H-M 'P 1'
_symmetry_Int_Tables_number 1
_symmetry_space_group_name_Hall 'P 1'
loop_
_atom_site_label
_atom_site_fract_x
_atom_site_fract_y
_atom_site_fract_z
_atom_site_occupancy
Ti1 0.000 0.000 0.000 1
Ti2 0.388 0.624 0.764 1
Ti3 0.860 0.624 0.236 1
Au1 0.469 0.969 0.500 1
# **E_form**: -0.1672 eV/atom
# **Crystal system**: orthorhombic
# **DOS at the Fermi energy**: 1.39 states/eV per atom
# **Relative energy among the computed polymorphs**: 17.8 kJ per mole of atoms
# **Final energy**: -27.63 eV per cell

***

[5]
# PBE-GGA Ti3Au, optimized geometry
data_Ti3Au
_chemical_formula_sum 'Ti3 Au1'
_cell_length_a 4.073
_cell_length_b 4.073
_cell_length_c 4.073
_cell_angle_alpha 90.00
_cell_angle_beta 90.00
_cell_angle_gamma 90.00
_symmetry_space_group_name_H-M 'P 1'
_symmetry_Int_Tables_number 1
_symmetry_space_group_name_Hall 'P 1'
loop_
_atom_site_label
_atom_site_fract_x
_atom_site_fract_y
_atom_site_fract_z
_atom_site_occupancy
Ti1 0.000 0.000 0.500 1
Ti2 0.000 0.500 0.000 1
Ti3 0.500 0.000 0.000 1
Au1 0.500 0.500 0.500 1
# **E_form**: -0.2274 eV/atom
# **Crystal system**: cubic
# **DOS at the Fermi energy**: 1.67 states/eV per atom
# **Relative energy among the computed polymorphs**: 12.0 kJ per mole of atoms
# **Final energy**: -27.87 eV per cell

***

[6]
# PBE-GGA Ti5Au, optimized geometry
data_Ti5Au
_chemical_formula_sum 'Ti5 Au1'
_cell_length_a 4.973
_cell_length_b 4.973
_cell_length_c 4.795
_cell_angle_alpha 90.00
_cell_angle_beta 90.00
_cell_angle_gamma 120.00
_symmetry_space_group_name_H-M 'P 1'
_symmetry_Int_Tables_number 1
_symmetry_space_group_name_Hall 'P 1'
loop_
_atom_site_label
_atom_site_fract_x
_atom_site_fract_y
_atom_site_fract_z
_atom_site_occupancy
Ti1 0.000 0.325 0.000 1
Ti2 0.325 0.000 0.000 1
Ti3 0.333 0.667 0.500 1
Ti4 0.667 0.333 0.500 1
Ti5 0.675 0.675 0.000 1
Au1 0.000 0.000 0.500 1
# **E_form**: -0.0881 eV/atom
# **Crystal system**: hexagonal
# **DOS at the Fermi energy**: 1.50 states/eV per atom
# **Relative energy among the computed polymorphs**: 5.8 kJ per mole of atoms
# **Final energy**: -43.28 eV per cell

***

[7]
# PBE-GGA TiAu2, optimized geometry
data_TiAu2
_chemical_formula_sum 'Ti1 Au2'
_cell_length_a 4.962
_cell_length_b 4.962
_cell_length_c 4.962
_cell_angle_alpha 139.13
_cell_angle_beta 139.13
_cell_angle_gamma 59.18
_symmetry_space_group_name_H-M 'P 1'
_symmetry_Int_Tables_number 1
_symmetry_space_group_name_Hall 'P 1'
loop_
_atom_site_label
_atom_site_fract_x
_atom_site_fract_y
_atom_site_fract_z
_atom_site_occupancy
Ti1 0.000 0.000 0.000 1
Au1 0.336 0.336 0.000 1
Au2 0.664 0.664 0.000 1
# **E_form**: -0.4208 eV/atom
# **Crystal system**: tetragonal
# **DOS at the Fermi energy**: 0.62 states/eV per atom
# **Final energy**: -15.71 eV per cell

***

[8]
# PBE-GGA TiAu4, optimized geometry
data_TiAu4
_chemical_formula_sum 'Ti1 Au4'
_cell_length_a 7.679
_cell_length_b 7.679
_cell_length_c 7.679
_cell_angle_alpha 157.39
_cell_angle_beta 149.63
_cell_angle_gamma 38.20
_symmetry_space_group_name_H-M 'P 1'
_symmetry_Int_Tables_number 1
_symmetry_space_group_name_Hall 'P 1'
loop_
_atom_site_label
_atom_site_fract_x
_atom_site_fract_y
_atom_site_fract_z
_atom_site_occupancy
Ti1 0.000 0.000 0.000 1
Au1 0.196 0.196 0.000 1
Au2 0.404 0.404 0.000 1
Au3 0.596 0.596 0.000 1
Au4 0.804 0.804 0.000 1
# **E_form**: -0.2345 eV/atom
# **Crystal system**: orthorhombic
# **DOS at the Fermi energy**: 0.53 states/eV per atom
# **Final energy**: -22.18 eV per cell

***

[9]
# PBE-GGA TiAu5, optimized geometry
data_TiAu5
_chemical_formula_sum 'Ti2 Au10'
_cell_length_a 3.756
_cell_length_b 8.821
_cell_length_c 6.458
_cell_angle_alpha 90.00
_cell_angle_beta 90.00
_cell_angle_gamma 90.00
_symmetry_space_group_name_H-M 'P 1'
_symmetry_Int_Tables_number 1
_symmetry_space_group_name_Hall 'P 1'
loop_
_atom_site_label
_atom_site_fract_x
_atom_site_fract_y
_atom_site_fract_z
_atom_site_occupancy
Ti1 0.250 0.250 0.119 1
Ti2 0.750 0.750 0.881 1
Au1 0.250 0.250 0.617 1
Au2 0.250 0.587 0.114 1
Au3 0.250 0.588 0.639 1
Au4 0.250 0.912 0.639 1
Au5 0.250 0.913 0.114 1
Au6 0.750 0.087 0.886 1
Au7 0.750 0.088 0.361 1
Au8 0.750 0.412 0.361 1
Au9 0.750 0.413 0.886 1
Au10 0.750 0.750 0.383 1
# **E_form**: -0.1748 eV/atom
# **Crystal system**: orthorhombic
# **DOS at the Fermi energy**: 0.71 states/eV per atom
# **Final energy**: -50.66 eV per cell

***

[10]
# PBE-GGA Ti4Au, optimized geometry
data_Ti4Au
_chemical_formula_sum 'Ti4 Au1'
_cell_length_a 4.877
_cell_length_b 4.877
_cell_length_c 4.877
_cell_angle_alpha 90.00
_cell_angle_beta 90.00
_cell_angle_gamma 90.00
_symmetry_space_group_name_H-M 'P 1'
_symmetry_Int_Tables_number 1
_symmetry_space_group_name_Hall 'P 1'
loop_
_atom_site_label
_atom_site_fract_x
_atom_site_fract_y
_atom_site_fract_z
_atom_site_occupancy
Ti1 0.000 0.000 0.000 1
Ti2 0.000 0.500 0.500 1
Ti3 0.500 0.000 0.500 1
Ti4 0.500 0.500 0.000 1
Au1 0.500 0.500 0.500 1
# **E_form**: 0.8758 eV/atom
# **Crystal system**: cubic
# **DOS at the Fermi energy**: 1.72 states/eV per atom
# **Final energy**: -30.48 eV per cell

***

[11]
# PBE-GGA TiAu2, optimized geometry
data_TiAu2
_chemical_formula_sum 'Ti1 Au2'
_cell_length_a 7.959
_cell_length_b 7.959
_cell_length_c 7.959
_cell_angle_alpha 160.20
_cell_angle_beta 160.20
_cell_angle_gamma 28.14
_symmetry_space_group_name_H-M 'P 1'
_symmetry_Int_Tables_number 1
_symmetry_space_group_name_Hall 'P 1'
loop_
_atom_site_label
_atom_site_fract_x
_atom_site_fract_y
_atom_site_fract_z
_atom_site_occupancy
Ti1 0.000 0.000 0.000 1
Au1 0.168 0.168 0.000 1
Au2 0.832 0.832 0.000 1
# **E_form**: 0.2122 eV/atom
# **Crystal system**: tetragonal
# **DOS at the Fermi energy**: 0.77 states/eV per atom
# **Final energy**: -13.81 eV per cell

***

[12]
# PBE-GGA Ti5Au, optimized geometry
data_Ti5Au
_chemical_formula_sum 'Ti5 Au1'
_cell_length_a 6.493
_cell_length_b 6.493
_cell_length_c 4.063
_cell_angle_alpha 90.00
_cell_angle_beta 90.00
_cell_angle_gamma 143.17
_symmetry_space_group_name_H-M 'P 1'
_symmetry_Int_Tables_number 1
_symmetry_space_group_name_Hall 'P 1'
loop_
_atom_site_label
_atom_site_fract_x
_atom_site_fract_y
_atom_site_fract_z
_atom_site_occupancy
Ti1 0.000 0.000 0.000 1
Ti2 0.168 0.832 0.500 1
Ti3 0.328 0.672 0.000 1
Ti4 0.672 0.328 0.000 1
Ti5 0.832 0.168 0.500 1
Au1 0.500 0.500 0.500 1
# **E_form**: -0.1482 eV/atom
# **Crystal system**: orthorhombic
# **DOS at the Fermi energy**: 1.48 states/eV per atom
# **Relative energy among the computed polymorphs**: 0.0 kJ per mole of atoms
# **Final energy**: -43.64 eV per cell

***

no.,V (Å³ per cell)
1,153.06
2,74.53
3,67.49
4,68.88
5,67.55
6,102.69
7,51.80
8,87.92
9,213.94
10,116.01
11,57.82
12,102.67